InCo2AsO6 (PBE with a Hubbard U, optimized geometry); energy = -57.092 eV/cell; space-group type = P4mm (99)
1.0
5.017 0.000 0.000
0.000 5.153 0.000
0.000 0.000 5.153
In Co As O
1 2 1 6
direct
0.538 0.500 0.500
0.948 0.500 0.000
0.948 0.000 0.500
0.612 0.000 0.000
0.746 0.236 0.236
0.746 0.236 0.764
0.144 0.500 0.500
0.274 0.000 0.000
0.746 0.764 0.764
0.746 0.764 0.236